[1]
# Ti20Al3Si9

A crystal of Ti20Al3Si9 relaxed with PBEsol (meta-GGA SCAN, Alexandria via LeMat-Bulk).

total magnetization	0.00	μB per formula unit
energy relative to the elements, uncorrected	-21.0	eV/f.u.

Unit cell a=5.101 b=7.450 c=12.932 alpha=89.97 beta=90.00 gamma=90.00
Sites, in units of the cell vectors:
Ti 0.247 0.995 0.667
Ti 0.248 0.497 0.170
Ti 0.247 0.505 0.831
Ti 0.249 0.997 0.330
Ti 0.753 0.505 0.831
Ti 0.751 0.997 0.330
Ti 0.753 0.995 0.667
Ti 0.752 0.497 0.170
Ti 0.500 0.741 0.499
Ti 0.500 0.239 0.003
Ti 0.500 0.383 0.621
Ti 0.500 0.878 0.127
Ti 0.500 0.875 0.875
Ti 0.500 0.378 0.374
Ti 0.000 0.259 0.500
Ti 0.000 0.759 0.000
Ti 0.000 0.124 0.879
Ti 0.000 0.624 0.375
Ti 0.000 0.626 0.625
Ti 0.000 0.126 0.126
Al 0.500 0.602 0.001
Al 0.500 0.105 0.499
Al 0.500 0.200 0.802
Si 0.500 0.696 0.304
Si 0.500 0.697 0.695
Si 0.500 0.196 0.197
Si 0.000 0.397 0.000
Si 0.000 0.895 0.499
Si 0.000 0.301 0.697
Si 0.000 0.802 0.195
Si 0.000 0.807 0.806
Si 0.000 0.302 0.306

=====

[2]
# SrIn2Br

A crystal of SrIn2Br relaxed with PBEsol (meta-GGA SCAN, Alexandria via LeMat-Bulk).

total magnetization	0.00	μB per formula unit
E above lowest polymorph	535	meV per atom
energy relative to the elements, uncorrected	-1.1	eV/f.u.

Unit cell a=3.640 b=3.640 c=9.624 alpha=90.00 beta=90.00 gamma=109.35
Sites, in units of the cell vectors:
Sr 0.500 0.500 0.500
Br 0.500 0.500 0.000
In 0.000 0.000 0.229
In 0.000 0.000 0.771

=====

[3]
# ScCrAg2

A crystal of ScCrAg2 relaxed with PBEsol (meta-GGA SCAN, Alexandria via LeMat-Bulk).

total magnetization	4.20	μB per formula unit
energy of formation	-0.030	eV/atom

Unit cell a=3.232 b=3.513 c=6.179 alpha=90.00 beta=90.00 gamma=90.00
Last column: magnetic moment on the atom in μB.
Sites, in units of the cell vectors:
Ag 0.000 0.000 0.762  0.03
Ag 0.000 0.000 0.238  0.03
Cr 0.500 0.500 0.000  3.81
Sc 0.500 0.500 0.500  -0.01

=====

[4]
# SrTa2Br

A crystal of SrTa2Br relaxed with PBEsol (meta-GGA SCAN, Alexandria via LeMat-Bulk).

total magnetization	0.00	μB per formula unit
E above lowest polymorph	59	meV per atom
energy relative to the elements, uncorrected	0.3	eV/f.u.

Unit cell a=3.483 b=3.483 c=8.257 alpha=90.00 beta=90.00 gamma=90.00
Sites, in units of the cell vectors:
Sr 0.500 0.500 0.752
Br 0.000 0.000 0.520
Ta 0.000 0.000 0.051
Ta 0.500 0.500 0.178

=====

[5]
# LiInS2

A crystal of LiInS2 relaxed with PBEsol (meta-GGA SCAN, Alexandria via LeMat-Bulk).

total magnetization	0.00	μB per formula unit
energy relative to the elements, uncorrected	-4.4	eV/f.u.

Unit cell a=6.482 b=6.893 c=8.045 alpha=90.00 beta=90.00 gamma=90.00
Sites, in units of the cell vectors:
S 0.003 0.081 0.871
S 0.003 0.581 0.629
S 0.503 0.919 0.129
S 0.503 0.419 0.371
S 0.493 0.918 0.622
S 0.993 0.082 0.378
S 0.993 0.582 0.122
S 0.493 0.418 0.878
Li 0.619 0.585 0.124
Li 0.119 0.915 0.624
Li 0.619 0.085 0.376
Li 0.119 0.415 0.876
In 0.621 0.581 0.626
In 0.121 0.419 0.374
In 0.121 0.919 0.126
In 0.621 0.081 0.874

=====

[6]
# TcAs2SeBr

A crystal of TcAs2SeBr relaxed with PBEsol (meta-GGA SCAN, Alexandria via LeMat-Bulk).

total magnetization	0.00	μB per formula unit
E above lowest polymorph	0	meV per atom
energy relative to the elements, uncorrected	2.5	eV/f.u.

Unit cell a=4.761 b=4.761 c=4.863 alpha=90.00 beta=90.00 gamma=90.00
Sites, in units of the cell vectors:
As 0.000 0.500 0.000
As 0.500 0.000 0.000
Se 0.500 0.500 0.500
Tc 0.000 0.000 0.000
Br 0.000 0.000 0.500

=====

[7]
# LiLaRu2

A crystal of LiLaRu2 relaxed with PBEsol (meta-GGA SCAN, Alexandria via LeMat-Bulk).

total magnetization	0.00	μB per formula unit
E above lowest polymorph	0	meV per atom
energy of formation	0.262	eV/atom

Unit cell a=4.567 b=4.567 c=4.567 alpha=60.00 beta=60.00 gamma=60.00
Sites, in units of the cell vectors:
La 0.500 0.500 0.500
Li 0.250 0.250 0.250
Ru 0.000 0.000 0.000
Ru 0.750 0.750 0.750

=====

[8]
# DyThN2

A crystal of DyThN2 relaxed with PBEsol (meta-GGA SCAN, Alexandria via LeMat-Bulk).

total magnetization	0.00	μB per formula unit
energy relative to the elements, uncorrected	-7.3	eV/f.u.

Unit cell a=3.541 b=3.541 c=6.107 alpha=73.15 beta=73.15 gamma=60.00
Sites, in units of the cell vectors:
Dy 0.000 0.000 0.000
Th 0.500 0.500 0.500
N 0.252 0.252 0.244
N 0.748 0.748 0.756

=====

[9]
# MnSe2NO

A crystal of MnSe2NO relaxed with PBEsol (meta-GGA SCAN, Alexandria via LeMat-Bulk).

total magnetization	1.26	μB per formula unit
energy relative to the elements, uncorrected	3.5	eV/f.u.

Unit cell a=3.355 b=4.614 c=4.614 alpha=90.00 beta=90.00 gamma=90.00
Last column: magnetic moment on the atom in μB.
Sites, in units of the cell vectors:
Mn 0.000 0.000 0.000  -1.29
O 0.500 0.500 0.500  1.06
Se 0.000 0.000 0.500  0.37
Se 0.000 0.500 0.000  0.37
N 0.500 0.000 0.000  0.30

=====

[10]
# BaCaAg2

A crystal of BaCaAg2 relaxed with PBEsol (meta-GGA SCAN, Alexandria via LeMat-Bulk).

total magnetization	0.00	μB per formula unit
E above lowest polymorph	0	meV per atom
energy of formation	-0.272	eV/atom

Unit cell a=4.315 b=4.690 c=6.340 alpha=90.00 beta=109.89 gamma=90.00
Sites, in units of the cell vectors:
Ca 0.758 0.500 0.516
Ba 0.478 0.000 0.956
Ag 0.198 0.000 0.396
Ag 0.064 0.500 0.129

=====

[11]
# CaBeOs

A crystal of CaBeOs relaxed with PBEsol (meta-GGA SCAN, Alexandria via LeMat-Bulk).

total magnetization	0.00	μB per formula unit
E above lowest polymorph	0	meV per atom
energy of formation	0.004	eV/atom

Unit cell a=3.138 b=3.138 c=5.415 alpha=106.84 beta=106.84 gamma=90.00
Sites, in units of the cell vectors:
Be 0.059 0.059 0.118
Ca 0.327 0.327 0.655
Os 0.613 0.613 0.227

=====

[12]
# YReAu2

A crystal of YReAu2 relaxed with PBEsol (meta-GGA SCAN, Alexandria via LeMat-Bulk).

total magnetization	0.00	μB per formula unit
E above lowest polymorph	148	meV per atom
energy of formation	0.104	eV/atom

Unit cell a=2.905 b=2.905 c=8.532 alpha=90.00 beta=90.00 gamma=90.00
Sites, in units of the cell vectors:
Au 0.000 0.000 0.011
Au 0.500 0.500 0.261
Re 0.000 0.000 0.480
Y 0.500 0.500 0.747

=====

[13]
# SiNiPb2

A crystal of SiNiPb2 relaxed with PBEsol (meta-GGA SCAN, Alexandria via LeMat-Bulk).

total magnetization	0.00	μB per formula unit
E above lowest polymorph	0	meV per atom
energy relative to the elements, uncorrected	-0.1	eV/f.u.

Unit cell a=3.966 b=3.964 c=6.902 alpha=106.64 beta=90.00 gamma=120.02
Sites, in units of the cell vectors:
Ni 0.791 0.582 0.373
Pb 0.032 0.063 0.094
Pb 0.219 0.437 0.657
Si 0.459 0.918 0.377

=====

[14]
# YHfNO2

A crystal of YHfNO2 relaxed with PBEsol (meta-GGA SCAN, Alexandria via LeMat-Bulk).

total magnetization	0.16	μB per formula unit
energy relative to the elements, uncorrected	-5.6	eV/f.u.

Unit cell a=4.098 b=4.098 c=4.362 alpha=90.00 beta=90.00 gamma=90.00
Last column: magnetic moment on the atom in μB.
Sites, in units of the cell vectors:
Y 0.000 0.000 0.000  0.05
Hf 0.500 0.500 0.500  -0.10
O 0.000 0.500 0.000  0.01
O 0.500 0.000 0.000  0.01
N 0.000 0.000 0.500  0.21

=====

[15]
# YSc3

A crystal of YSc3 relaxed with PBEsol (meta-GGA SCAN, Alexandria via LeMat-Bulk).

total magnetization	0.92	μB per formula unit
E above lowest polymorph	80	meV per atom
energy of formation	0.096	eV/atom

Unit cell a=4.646 b=4.646 c=4.646 alpha=90.00 beta=90.00 gamma=90.00
Last column: magnetic moment on the atom in μB.
Sites, in units of the cell vectors:
Y 0.500 0.500 0.500  0.11
Sc 0.000 0.000 0.500  0.15
Sc 0.000 0.500 0.000  0.15
Sc 0.500 0.000 0.000  0.15

=====

[16]
# GaCoN2

A crystal of GaCoN2 relaxed with PBEsol (meta-GGA SCAN, Alexandria via LeMat-Bulk).

total magnetization	1.99	μB per formula unit
energy relative to the elements, uncorrected	-0.2	eV/f.u.

Unit cell a=4.349 b=4.349 c=5.386 alpha=113.81 beta=113.81 gamma=90.00
Last column: magnetic moment on the atom in μB.
Sites, in units of the cell vectors:
Co 0.750 0.250 0.500  1.69
Co 0.500 0.500 0.000  1.69
Ga 0.250 0.750 0.500  0.06
Ga 0.000 0.000 0.000  0.06
N 0.395 0.875 0.250  0.04
N 0.855 0.375 0.250  0.04
N 0.125 0.145 0.750  0.04
N 0.625 0.605 0.750  0.04

=====

[17]
# Si2Ni2Au

A crystal of Si2Ni2Au relaxed with PBEsol (meta-GGA SCAN, Alexandria via LeMat-Bulk).

total magnetization	0.00	μB per formula unit
energy relative to the elements, uncorrected	-0.9	eV/f.u.

Unit cell a=3.496 b=3.496 c=5.896 alpha=107.25 beta=107.25 gamma=90.00
Sites, in units of the cell vectors:
Ni 0.386 0.386 0.772
Ni 0.614 0.614 0.228
Si 0.250 0.750 0.500
Si 0.750 0.250 0.500
Au 0.000 0.000 0.000

=====

[18]
# CdIr2Os

A crystal of CdIr2Os relaxed with PBEsol (meta-GGA SCAN, Alexandria via LeMat-Bulk).

total magnetization	0.00	μB per formula unit
energy of formation	0.066	eV/atom

Unit cell a=2.763 b=2.763 c=7.917 alpha=90.00 beta=90.00 gamma=90.00
Sites, in units of the cell vectors:
Ir 0.000 0.000 0.773
Ir 0.000 0.000 0.227
Os 0.500 0.500 0.000
Cd 0.500 0.500 0.500

=====

[19]
# Ti2TeAs2

A crystal of Ti2TeAs2 relaxed with PBEsol (meta-GGA SCAN, Alexandria via LeMat-Bulk).

total magnetization	1.31	μB per formula unit
energy relative to the elements, uncorrected	-2.9	eV/f.u.

Unit cell a=4.718 b=4.718 c=5.475 alpha=115.52 beta=115.52 gamma=90.00
Last column: magnetic moment on the atom in μB.
Sites, in units of the cell vectors:
As 0.359 0.359 0.719  -0.03
As 0.641 0.641 0.281  -0.03
Te 0.000 0.000 0.000  -0.07
Ti 0.250 0.750 0.500  0.57
Ti 0.750 0.250 0.500  0.57

=====

[20]
# KPCl

A crystal of KPCl relaxed with PBEsol (meta-GGA SCAN, Alexandria via LeMat-Bulk).

total magnetization	3.00	μB per formula unit
energy relative to the elements, uncorrected	-0.6	eV/f.u.

Unit cell a=5.197 b=5.197 c=5.197 alpha=60.00 beta=60.00 gamma=60.00
Last column: magnetic moment on the atom in μB.
Sites, in units of the cell vectors:
P 0.500 0.500 0.500  1.14
K 0.000 0.000 0.000  0.01
Cl 0.250 0.250 0.250  0.25